The following is a PBE-GGA calculation of LaHo4Ni4 after structural relaxation, from Alexandria via LeMat-Bulk.

The structure in POSCAR format:
```
LaHo4Ni4
1.0
8.642 0.000 0.000
0.000 8.642 0.000
0.000 0.000 5.577
La Ho Ni
2 8 8
direct
0.250 0.250 0.250 La
0.750 0.750 0.750 La
0.074 0.659 0.156 Ho
0.159 0.926 0.656 Ho
0.341 0.574 0.656 Ho
0.426 0.841 0.156 Ho
0.574 0.159 0.844 Ho
0.659 0.426 0.344 Ho
0.841 0.074 0.344 Ho
0.926 0.341 0.844 Ho
0.033 0.613 0.645 Ni
0.113 0.967 0.145 Ni
0.387 0.533 0.145 Ni
0.467 0.887 0.645 Ni
0.533 0.113 0.355 Ni
0.613 0.467 0.855 Ni
0.887 0.033 0.855 Ni
0.967 0.387 0.355 Ni
```

Values from the calculation:
Crystal system: tetragonal
Symmetry: P4_2/n, No. 86
Energy of formation (eV/atom): -0.2801

***

The following is a PBE-GGA calculation of La2Ho2Ni15 after structural relaxation, from Alexandria via LeMat-Bulk.

The structure in POSCAR format:
```
La2Ho2Ni15
1.0
4.306 2.486 4.241
-4.306 2.486 4.241
0.000 -4.972 4.241
La Ho Ni
2 2 15
direct
0.142 0.142 0.142 La
0.858 0.858 0.858 La
0.389 0.389 0.389 Ho
0.611 0.611 0.611 Ho
0.000 0.500 0.500 Ni
0.153 0.153 0.663 Ni
0.153 0.663 0.153 Ni
0.196 0.500 0.804 Ni
0.196 0.804 0.500 Ni
0.337 0.847 0.847 Ni
0.500 0.000 0.500 Ni
0.500 0.196 0.804 Ni
0.500 0.500 0.000 Ni
0.500 0.804 0.196 Ni
0.663 0.153 0.153 Ni
0.804 0.196 0.500 Ni
0.804 0.500 0.196 Ni
0.847 0.337 0.847 Ni
0.847 0.847 0.337 Ni
```

Values from the calculation:
Crystal system: trigonal
Symmetry: R-3m, No. 166
Energy of formation (eV/atom): -0.2228

***

The following is a PBE-GGA calculation of La2HoNi after structural relaxation, from Alexandria via LeMat-Bulk.

The structure in POSCAR format:
```
La2HoNi
1.0
3.637 0.000 0.000
0.000 3.637 0.000
0.000 0.000 8.594
La Ho Ni
2 1 1
direct
0.000 0.000 0.195 La
0.000 0.000 0.805 La
0.500 0.500 0.500 Ho
0.500 0.500 0.000 Ni
```

Values from the calculation:
Crystal system: tetragonal
Symmetry: P4/mmm, No. 123
Energy of formation (eV/atom): -0.0634

***

The following is a PBE-GGA calculation of La2HoNi after structural relaxation, from Alexandria via LeMat-Bulk.

The structure in POSCAR format:
```
La2HoNi
1.0
7.052 0.000 0.000
0.000 10.174 0.000
0.000 0.000 6.430
La Ho Ni
8 4 4
direct
0.175 0.068 0.176 La
0.175 0.432 0.176 La
0.325 0.568 0.676 La
0.325 0.932 0.676 La
0.675 0.068 0.324 La
0.675 0.432 0.324 La
0.825 0.568 0.824 La
0.825 0.932 0.824 La
0.038 0.250 0.661 Ho
0.462 0.750 0.161 Ho
0.538 0.250 0.839 Ho
0.962 0.750 0.339 Ho
0.119 0.750 0.941 Ni
0.381 0.250 0.441 Ni
0.619 0.750 0.559 Ni
0.881 0.250 0.059 Ni
```

Values from the calculation:
Crystal system: orthorhombic
Symmetry: Pnma, No. 62
Energy of formation (eV/atom): -0.1917

***

The following is a PBE-GGA calculation of LaHo5Ni2 after structural relaxation, from Alexandria via LeMat-Bulk.

The structure in POSCAR format:
```
LaHo5Ni2
1.0
1.820 -6.494 0.000
1.820 6.494 0.000
0.000 0.000 18.325
La Ho Ni
2 10 4
direct
0.169 0.831 0.750 La
0.831 0.169 0.250 La
0.099 0.901 0.250 Ho
0.169 0.831 0.555 Ho
0.169 0.831 0.945 Ho
0.436 0.564 0.592 Ho
0.436 0.564 0.908 Ho
0.564 0.436 0.092 Ho
0.564 0.436 0.408 Ho
0.831 0.169 0.055 Ho
0.831 0.169 0.445 Ho
0.901 0.099 0.750 Ho
0.220 0.780 0.132 Ni
0.220 0.780 0.368 Ni
0.780 0.220 0.632 Ni
0.780 0.220 0.868 Ni
```

Values from the calculation:
Crystal system: orthorhombic
Symmetry: Cmcm, No. 63
Energy of formation (eV/atom): -0.1527

***

The following is a PBE-GGA calculation of LaHo12Ni6 after structural relaxation, from Alexandria via LeMat-Bulk.

The structure in POSCAR format:
```
LaHo12Ni6
1.0
-4.909 4.909 4.909
4.909 -4.909 4.909
4.909 4.909 -4.909
La Ho Ni
1 12 6
direct
0.000 0.000 0.000 La
0.127 0.815 0.312 Ho
0.185 0.312 0.497 Ho
0.185 0.688 0.873 Ho
0.312 0.127 0.815 Ho
0.312 0.497 0.185 Ho
0.497 0.185 0.312 Ho
0.503 0.815 0.688 Ho
0.688 0.503 0.815 Ho
0.688 0.873 0.185 Ho
0.815 0.312 0.127 Ho
0.815 0.688 0.503 Ho
0.873 0.185 0.688 Ho
0.124 0.624 0.500 Ni
0.376 0.500 0.876 Ni
0.500 0.124 0.624 Ni
0.500 0.876 0.376 Ni
0.624 0.500 0.124 Ni
0.876 0.376 0.500 Ni
```

Values from the calculation:
Crystal system: cubic
Symmetry: Im-3, No. 204
Energy of formation (eV/atom): -0.2474

***

The following is a PBE-GGA calculation of La2HoNi after structural relaxation, from Alexandria via LeMat-Bulk.

The structure in POSCAR format:
```
La2HoNi
1.0
1.860 1.074 10.472
-1.860 1.074 10.472
0.000 -2.148 10.472
La Ho Ni
2 1 1
direct
0.110 0.110 0.110 La
0.890 0.890 0.890 La
0.000 0.000 0.000 Ho
0.500 0.500 0.500 Ni
```

Values from the calculation:
Crystal system: trigonal
Symmetry: R-3m, No. 166
Energy of formation (eV/atom): 0.1057

***

The following is a PBE-GGA calculation of LaHoNiOs after structural relaxation, from Alexandria via LeMat-Bulk.

The structure in POSCAR format:
```
LaHoNiOs
1.0
0.000 3.472 3.472
3.472 0.000 3.472
3.472 3.472 0.000
La Ho Ni Os
1 1 1 1
direct
0.000 0.000 0.000 La
0.500 0.500 0.500 Ho
0.250 0.250 0.250 Ni
0.750 0.750 0.750 Os
```

Values from the calculation:
Crystal system: cubic
Symmetry: F-43m, No. 216
Energy of formation (eV/atom): -0.1695